The following is a DFT calculation (PBE-GGA) of a relaxed structure of ScNiBRh2.

The value obtained for the energy of formation from the pure elements is -0.719 eV per atom. Its crystal system is tetragonal. For the calculated density, the calculation gives 7.98 g cm⁻³. The total energy is -7.42 eV/atom. For the total moment, the calculation gives 0.00 μB per atom.

abc: 4.1373 4.1373 3.8945
angles: 90.00 90.00 90.00
Fractional coordinates of all 5 atoms:
Rh 0.0000 0.5000 0.0000
Rh 0.5000 0.0000 0.0000
Ni 0.0000 0.0000 0.5000
B 0.0000 0.0000 0.0000
Sc 0.5000 0.5000 0.5000